Ba2Li5Cd4 | PBE | relaxed

## Properties
ΔH_f (0 K) ... -1.76 eV/f.u.
Polymorph energy (0 for the lowest one) ... 44 meV/atom
Density of states at the Fermi level ... 14.4 states/eV per cell
VASP energy ... -1.712 eV/atom
M_tot ... 0.0 μB/f.u.
Theoretical density ... 3.90 Mg/m³

Geometry as CIF:
```
data_Ba2Li5Cd4
_cell_length_a 14.472
_cell_length_b 6.067
_cell_length_c 9.202
_cell_angle_alpha 90.00
_cell_angle_beta 126.85
_cell_angle_gamma 90.00
_space_group_name_H-M_alt 'C 1 2/m 1'
_space_group_IT_number 12
loop_
_space_group_symop_operation_xyz
'x,y,z'
'-x,-y,-z'
'-x,y,-z'
'x,-y,z'
'x+1/2,y+1/2,z'
'-x+1/2,-y+1/2,-z'
'-x+1/2,y+1/2,-z'
'x+1/2,-y+1/2,z'
loop_
_atom_site_label
_atom_site_type_symbol
_atom_site_fract_x
_atom_site_fract_y
_atom_site_fract_z
Ba1 Ba 0.217 0.000 0.276
Li1 Li 0.000 0.500 0.000
Li2 Li 0.047 0.253 0.749
Cd1 Cd 0.119 0.000 0.554
Cd2 Cd 0.223 0.500 0.051
```